[1]
{
  "formula": "PrTeI",
  "functional": "PBE",
  "state": "optimized geometry",
  "mass_density_g_cm3": 5.7,
  "crystal_system": "cubic",
  "vol_a3_per_atom": 38.4,
  "formation_energy_uncorrected_mev_per_atom": -1275,
  "spacegroup": "F-43m (216)",
  "e_above_lowest_polymorph_mev_per_atom": 168,
  "lattice": [[-0.6292, 5.2248, 1.4681], [-4.6915, 2.5902, -1.0629], [-3.3881, 1.3010, 4.0838]],
  "species": ["I", "Te", "Pr"],
  "fractional_positions": [[0.5000, 0.5000, 0.5000], [0.0000, 0.0000, 0.0000], [0.2500, 0.2500, 0.2500]]
}



[2]
{
  "formula": "Pr5Te4I",
  "functional": "PBE",
  "state": "optimized geometry",
  "mass_density_g_cm3": 6.7,
  "crystal_system": "tetragonal",
  "vol_a3_per_atom": 33.1,
  "formation_energy_uncorrected_mev_per_atom": -1295,
  "spacegroup": "I4/mmm (139)",
  "e_above_lowest_polymorph_mev_per_atom": 7,
  "lattice": [[4.5179, 0.0000, 0.0000], [0.0000, 4.5179, 0.0000], [-2.2590, -2.2590, 16.2124]],
  "species": ["Pr", "Pr", "Pr", "Pr", "Pr", "Te", "Te", "Te", "Te", "I"],
  "fractional_positions": [[0.8941, 0.8941, 0.7881], [0.5000, 0.5000, 0.0000], [0.3065, 0.3065, 0.6130], [0.1059, 0.1059, 0.2119], [0.6935, 0.6935, 0.3870], [0.7956, 0.7956, 0.5911], [0.5971, 0.5971, 0.1941], [0.4029, 0.4029, 0.8059], [0.2044, 0.2044, 0.4089], [0.0000, 0.0000, 0.0000]]
}